# 1
## Li3Au7 (PBE)

Data for an optimized crystal structure of Li3Au7.

Properties
Energy of formation from the pure elements   -0.384 eV/atom
Crystal system   monoclinic
DOS at the Fermi energy   3.06 states/eV/f.u.
Theoretical density   13.9 g/cm³

Cell: 4.0931 5.6810 7.5851 Å, 100.39 105.65 90.00°
Last column: nearest neighbours and their distance in Å.
Fractional positions:
Li1 0.0000 0.0000 0.0000  12 Au 2.84-2.94
Li2 0.8024 0.3865 0.6047  10 Au 2.81-2.85, 2 Li 2.99
Li3 0.1976 0.6135 0.3953  10 Au 2.81-2.85, 2 Li 2.99
Au1 0.0000 0.5000 0.0000  4 Li 2.84, 8 Au 2.88-2.90
Au2 0.7988 0.8854 0.5977  5 Li 2.81-2.89, 7 Au 2.83-2.94
Au3 0.2012 0.1146 0.4023  5 Li 2.81-2.89, 7 Au 2.83-2.94
Au4 0.6048 0.3109 0.2095  7 Au 2.83-2.94, 5 Li 2.84-2.94
Au5 0.3952 0.6891 0.7905  7 Au 2.83-2.94, 5 Li 2.84-2.94
Au6 0.6001 0.8065 0.2002  8 Au 2.83-2.94, 4 Li 2.83-2.85
Au7 0.3999 0.1935 0.7998  8 Au 2.83-2.94, 4 Li 2.83-2.85

# 2
## Li2Au (PBE)

Data for an optimized crystal structure of Li2Au.

Properties
Energy of formation from the pure elements   -0.449 eV/atom
Crystal system   tetragonal
DOS at the Fermi energy   1.00 states/eV/f.u.
Theoretical density   7.4 g/cm³

Cell: 4.8605 4.8605 4.8605 Å, 139.95 139.95 57.94°
Last column: nearest neighbours and their distance in Å.
Fractional positions:
Au1 0.5000 0.5000 0.0000  10 Li 2.71-2.91
Li1 0.1577 0.1577 0.0000  5 Li 2.68-2.83, 5 Au 2.71-2.91
Li2 0.8423 0.8423 0.0000  5 Li 2.68-2.83, 5 Au 2.71-2.91

# 3
## LiAu3 (PBE)

Data for an optimized crystal structure of LiAu3.

Properties
Energy of formation from the pure elements   -0.263 eV/atom
Crystal system   orthorhombic
DOS at the Fermi energy   1.41 states/eV/f.u.
Theoretical density   14.8 g/cm³

Cell: 2.8885 2.8885 8.0368 Å, 90.00 90.00 90.12°
Last column: nearest neighbours and their distance in Å.
Fractional positions:
Au1 0.0000 0.0000 0.0215  4 Li 2.74-2.75, 8 Au 2.89-2.99
Au2 0.5000 0.5000 0.7500  12 Au 2.89-2.99
Au3 0.0000 0.0000 0.4785  4 Li 2.74-2.75, 8 Au 2.89-2.99
Li1 0.5000 0.5000 0.2500  8 Au 2.74-2.75, 4 Li 2.89

What are the raw total energy values for these records? In order: -3.25, -2.82, -3.20 eV/atom.